Record 1
NdSm3Ir GGA-PBE relaxed; volume = 600.2 Å³/cell; space-group type = P2_1/c, No. 14; spin magnetization = 0.00 Bohr magnetons per cell; uncorrected energy = -5.8457 eV/atom; ΔE_f = -0.2885 eV/atom
1.0
8.0984 0.0000 0.0000
0.0000 7.5454 0.0000
-2.9666 0.0000 9.8219
Nd Sm Ir
4 12 4
direct
0.1909 0.0387 0.2545 Nd
0.1909 0.4613 0.7545 Nd
0.8091 0.5387 0.2455 Nd
0.8091 0.9613 0.7455 Nd
0.0684 0.7073 0.0243 Sm
0.0684 0.7927 0.5243 Sm
0.2870 0.5056 0.3781 Sm
0.2870 0.9944 0.8781 Sm
0.4133 0.1282 0.6066 Sm
0.4133 0.3718 0.1066 Sm
0.5867 0.6282 0.8934 Sm
0.5867 0.8718 0.3934 Sm
0.7130 0.0056 0.1219 Sm
0.7130 0.4944 0.6219 Sm
0.9316 0.2073 0.4757 Sm
0.9316 0.2927 0.9757 Sm
0.4360 0.7422 0.6040 Ir
0.4360 0.7578 0.1040 Ir
0.5640 0.2422 0.8960 Ir
0.5640 0.2578 0.3960 Ir

=====

Record 2
MgV3N GGA-PBE relaxed; E_form (uncorrected) = 2734 meV per atom; volume = 99.5 Å³/cell; space-group type = Pm-3m, No. 221; spin magnetization = 5.95 Bohr magnetons per cell; uncorrected energy = -4.7207 eV/atom
1.0
4.6339 0.0000 0.0000
0.0000 4.6339 0.0000
0.0000 0.0000 4.6339
Mg V N
1 3 1
direct
0.0000 0.0000 0.0000 Mg
0.0000 0.0000 0.5000 V
0.0000 0.5000 0.0000 V
0.5000 0.0000 0.0000 V
0.5000 0.5000 0.5000 N

=====

Record 3
LiLaPb GGA-PBE relaxed; volume = 82.1 Å³/cell; space-group type = I4mm, No. 107; spin magnetization = 0.00 Bohr magnetons per cell; uncorrected energy = -3.7955 eV/atom; ΔE_f = -0.2789 eV/atom
1.0
-1.8280 1.8280 6.1419
1.8280 -1.8280 6.1419
1.8280 1.8280 -6.1419
Li La Pb
1 1 1
direct
0.0000 0.0000 0.0000 Li
0.6954 0.6954 0.0000 La
0.3879 0.3879 0.0000 Pb

=====

Record 4
DyCoGe3Rh GGA-PBE relaxed; volume = 235.8 Å³/cell; space-group type = Cmcm, No. 63; spin magnetization = 0.00 Bohr magnetons per cell; uncorrected energy = -5.8138 eV/atom; ΔE_f = -0.3285 eV/atom
1.0
3.1571 -6.4977 0.0000
3.1571 6.4977 0.0000
0.0000 0.0000 5.7483
Dy Co Ge Rh
2 2 6 2
direct
0.1877 0.8123 0.7500 Dy
0.8123 0.1877 0.2500 Dy
0.0373 0.9627 0.2500 Co
0.9627 0.0373 0.7500 Co
0.2088 0.7912 0.2500 Ge
0.2821 0.2821 0.0000 Ge
0.2821 0.2821 0.5000 Ge
0.7179 0.7179 0.0000 Ge
0.7179 0.7179 0.5000 Ge
0.7912 0.2088 0.7500 Ge
0.3860 0.6140 0.2500 Rh
0.6140 0.3860 0.7500 Rh

=====

Record 5
Ce2InBr GGA-PBE relaxed; E_form (uncorrected) = -661 meV per atom; volume = 107.5 Å³/cell; space-group type = P4/mmm, No. 123; spin magnetization = 2.60 Bohr magnetons per cell; uncorrected energy = -4.7304 eV/atom
1.0
3.5566 0.0000 0.0000
0.0000 3.5566 0.0000
0.0000 0.0000 8.4975
Ce In Br
2 1 1
direct
0.0000 0.0000 0.2451 Ce
0.0000 0.0000 0.7549 Ce
0.5000 0.5000 0.5000 In
0.5000 0.5000 0.0000 Br

=====

Record 6
Rb3C2O6 GGA-PBE relaxed; E_form (uncorrected) = -1612 meV per atom; volume = 448.1 Å³/cell; space-group type = Pnnm, No. 58; spin magnetization = 2.00 Bohr magnetons per cell; uncorrected energy = -6.2570 eV/atom
1.0
5.5337 0.0000 0.0000
0.0000 7.6594 0.0000
0.0000 0.0000 10.5721
Rb C O
6 4 12
direct
0.0000 0.0000 0.0000 Rb
0.0000 0.5000 0.1872 Rb
0.0000 0.5000 0.8128 Rb
0.5000 0.0000 0.3127 Rb
0.5000 0.0000 0.6872 Rb
0.5000 0.5000 0.5000 Rb
0.0184 0.2371 0.5000 C
0.4816 0.7371 0.0000 C
0.5184 0.2629 0.0000 C
0.9816 0.7629 0.5000 C
0.1320 0.2598 0.3941 O
0.1320 0.2598 0.6059 O
0.2080 0.8037 0.5000 O
0.2920 0.3037 0.0000 O
0.3680 0.7598 0.1059 O
0.3680 0.7598 0.8941 O
0.6320 0.2402 0.1059 O
0.6320 0.2402 0.8941 O
0.7080 0.6963 0.0000 O
0.7920 0.1963 0.5000 O
0.8680 0.7402 0.3941 O
0.8680 0.7402 0.6059 O

=====

Record 7
NaBeAgPb2 GGA-PBE relaxed; volume = 157.7 Å³/cell; space-group type = P4/mmm, No. 123; spin magnetization = 0.00 Bohr magnetons per cell; uncorrected energy = -2.3013 eV/atom; ΔE_f = 0.7614 eV/atom
1.0
5.4530 0.0000 0.0000
0.0000 5.4530 0.0000
0.0000 0.0000 5.3035
Na Be Ag Pb
1 1 1 2
direct
0.0000 0.0000 0.0000 Na
0.5000 0.5000 0.0000 Be
0.0000 0.0000 0.5000 Ag
0.0000 0.5000 0.5000 Pb
0.5000 0.0000 0.5000 Pb

=====

Record 8
YAlAg2S4 GGA-PBE relaxed; E_form (uncorrected) = -900 meV per atom; volume = 319.8 Å³/cell; space-group type = C2/c, No. 15; spin magnetization = 0.00 Bohr magnetons per cell; uncorrected energy = -4.9521 eV/atom
1.0
5.2554 -5.5246 0.0000
5.2554 5.5246 0.0000
-4.9109 0.0000 5.5074
Y Al Ag S
2 2 4 8
direct
0.0000 0.5000 0.0000 Y
0.5000 0.0000 0.5000 Y
0.0000 0.0000 0.0000 Al
0.0000 0.0000 0.5000 Al
0.0000 0.5000 0.5000 Ag
0.5000 0.0000 0.0000 Ag
0.5000 0.5000 0.0000 Ag
0.5000 0.5000 0.5000 Ag
0.2184 0.2216 0.9413 S
0.2180 0.7700 0.4959 S
0.2216 0.2184 0.4413 S
0.2300 0.7820 0.0041 S
0.7700 0.2180 0.9959 S
0.7784 0.7816 0.5587 S
0.7820 0.2300 0.5041 S
0.7816 0.7784 0.0587 S

=====

Which value of volume does entry 4 give?
235.8 Å³/cell

=====

Look up the uncorrected energy of the third one.
-3.7955 eV/atom

=====

What did the sixth record say?
Rb3C2O6 GGA-PBE relaxed; E_form (uncorrected) = -1612 meV per atom; volume = 448.1 Å³/cell; space-group type = Pnnm, No. 58; spin magnetization = 2.00 Bohr magnetons per cell; uncorrected energy = -6.2570 eV/atom
1.0
5.5337 0.0000 0.0000
0.0000 7.6594 0.0000
0.0000 0.0000 10.5721
Rb C O
6 4 12
direct
0.0000 0.0000 0.0000 Rb
0.0000 0.5000 0.1872 Rb
0.0000 0.5000 0.8128 Rb
0.5000 0.0000 0.3127 Rb
0.5000 0.0000 0.6872 Rb
0.5000 0.5000 0.5000 Rb
0.0184 0.2371 0.5000 C
0.4816 0.7371 0.0000 C
0.5184 0.2629 0.0000 C
0.9816 0.7629 0.5000 C
0.1320 0.2598 0.3941 O
0.1320 0.2598 0.6059 O
0.2080 0.8037 0.5000 O
0.2920 0.3037 0.0000 O
0.3680 0.7598 0.1059 O
0.3680 0.7598 0.8941 O
0.6320 0.2402 0.1059 O
0.6320 0.2402 0.8941 O
0.7080 0.6963 0.0000 O
0.7920 0.1963 0.5000 O
0.8680 0.7402 0.3941 O
0.8680 0.7402 0.6059 O